Computed, not measured: crystalline WF3 at its relaxed geometry at the GGA+U level of DFT.

Cell lengths 7.845, 7.845, 7.845 Å; angles 152.30, 152.30, 39.58 degrees
Fractional positions:
W 0.000 0.000 0.000
W 0.750 0.250 0.500
F 0.050 0.625 0.925
F 0.250 0.750 0.500
F 0.375 0.300 0.425
F 0.500 0.500 0.000
F 0.700 0.125 0.075
F 0.875 0.950 0.575

## Properties
Polymorph energy (0 for the lowest one)   0 meV/atom
Raw total energy   -4.758 eV/atom
Mass density   7.680 g/cm³